1.
A plane-wave DFT calculation with PBE was carried out for Tm5Bi2Pb after structural relaxation.

Energy of formation: -0.25 eV per atom
DOS at the Fermi energy: 1.00 states/eV per atom
Symmetry: Cmcm (63)

Cell lengths 6.543, 6.543, 14.219 Å; angles 90.00, 90.00, 126.57 degrees
Sites, in units of the cell vectors:
Tm1 0.074 0.926 0.601
Tm2 0.074 0.926 0.899
Tm3 0.380 0.620 0.549
Tm4 0.380 0.620 0.951
Tm5 0.420 0.580 0.250
Tm6 0.580 0.420 0.750
Tm7 0.620 0.380 0.049
Tm8 0.620 0.380 0.451
Tm9 0.926 0.074 0.101
Tm10 0.926 0.074 0.399
Bi1 0.200 0.800 0.113
Bi2 0.200 0.800 0.387
Bi3 0.800 0.200 0.613
Bi4 0.800 0.200 0.887
Pb1 0.277 0.723 0.750
Pb2 0.723 0.277 0.250



2.
A plane-wave DFT calculation with PBE was carried out for Tm6Bi3Pb after structural relaxation.

Energy of formation: -0.43 eV per atom
DOS at the Fermi energy: 0.68 states/eV per atom
Symmetry: Cmc2_1 (36)

Cell lengths 9.337, 9.337, 7.572 Å; angles 90.00, 90.00, 107.62 degrees
Sites, in units of the cell vectors:
Tm1 0.008 0.992 0.500
Tm2 0.072 0.524 0.999
Tm3 0.247 0.753 0.367
Tm4 0.265 0.387 0.379
Tm5 0.387 0.265 0.879
Tm6 0.476 0.928 0.999
Tm7 0.524 0.072 0.499
Tm8 0.613 0.735 0.379
Tm9 0.735 0.613 0.879
Tm10 0.753 0.247 0.867
Tm11 0.928 0.476 0.499
Tm12 0.992 0.008 0.000
Bi1 0.090 0.284 0.726
Bi2 0.284 0.090 0.226
Bi3 0.420 0.580 0.058
Bi4 0.580 0.420 0.558
Bi5 0.716 0.910 0.726
Bi6 0.910 0.716 0.226
Pb1 0.173 0.827 0.751
Pb2 0.827 0.173 0.251